Entry 1:
Computed, not measured: an optimized crystal structure of Tm6GaPb2 at the PBE-GGA level of DFT.

```
Tm6GaPb2
1.0
-1.1686 3.6164 1.9429
-7.4535 -3.1345 1.3513
5.9537 -1.0503 5.5361
Tm Ga Pb
6 1 2
Direct
0.5000 0.6003 0.0000
0.5000 0.3997 0.3997
0.5000 0.0000 0.6003
0.0000 0.2449 0.0000
0.0000 0.7551 0.7551
0.0000 0.0000 0.2449
0.5000 0.0000 0.0000
0.0000 0.3333 0.6666
0.0000 0.6667 0.3334
```

Properties
space group	P-62m
volume	248	Å³/cell
final energy	-4.53	eV per atom
formation energy	-0.390	eV/atom

Entry 2:
Computed, not measured: an optimized crystal structure of Pa3Si3Mo2 at the PBE-GGA level of DFT.

```
Pa3Si3Mo2
1.0
3.9394 0.0000 0.0000
0.0000 4.4456 0.0000
-1.9697 -2.2228 8.7933
Pa Si Mo
3 3 2
Direct
0.6298 0.6298 0.2596
0.3702 0.3702 0.7404
0.5000 0.0000 0.0000
0.1575 0.1575 0.3150
0.0000 0.5000 0.0000
0.8425 0.8425 0.6850
0.7558 0.2558 0.5116
0.2442 0.7442 0.4884
```

Properties
space group	Immm
volume	154	Å³/cell
final energy	-8.56	eV per atom
ΔE_f (raw)	-259	meV per atom

Entry 3:
Computed, not measured: an optimized crystal structure of Tl2HgSb2 at the PBE-GGA level of DFT.

```
Tl2HgSb2
1.0
-3.0968 -2.8476 -1.1790
2.1487 -0.7966 -3.7198
3.9908 -8.3216 1.5215
Sb Tl Hg
2 2 1
Direct
0.7500 0.2500 0.5000
0.2500 0.7500 0.5000
0.3967 0.3967 0.2066
0.6033 0.6033 0.7934
0.0000 0.0000 0.0000
```

Properties
space group	I4/mmm
volume	169	Å³/cell
final energy	-2.64	eV per atom
E above lowest polymorph	0.0	meV per atom
ΔE_f (raw)	15	meV per atom

What did the third record say?
Computed, not measured: an optimized crystal structure of Tl2HgSb2 at the PBE-GGA level of DFT.

```
Tl2HgSb2
1.0
-3.0968 -2.8476 -1.1790
2.1487 -0.7966 -3.7198
3.9908 -8.3216 1.5215
Sb Tl Hg
2 2 1
Direct
0.7500 0.2500 0.5000
0.2500 0.7500 0.5000
0.3967 0.3967 0.2066
0.6033 0.6033 0.7934
0.0000 0.0000 0.0000
```

Properties
space group	I4/mmm
volume	169	Å³/cell
final energy	-2.64	eV per atom
E above lowest polymorph	0.0	meV per atom
ΔE_f (raw)	15	meV per atom

Question: volume of number 3 (Tl2HgSb2)?
Answer: 169 Å³/cell